[1]
# SCAN CrSnSeN2, PBEsol geometry
# E_form (uncorrected) = 0.39 eV/atom
# calculated volume = 72 Å³/cell
# magnetization = 0.19 μB per formula unit
# DOS(E_F) = 0.30 states/eV/atom
data_CrSnSeN2
_cell_length_a 3.800
_cell_length_b 3.800
_cell_length_c 5.009
_cell_angle_alpha 90.00
_cell_angle_beta 90.00
_cell_angle_gamma 90.00
_symmetry_space_group_name_H-M 'P 1'
_symmetry_Int_Tables_number 1
_symmetry_space_group_name_Hall 'P 1'
loop_
_atom_site_label
_atom_site_fract_x
_atom_site_fract_y
_atom_site_fract_z
Cr1 0.000 0.000 0.000
Sn1 0.500 0.500 0.500
Se1 0.000 0.000 0.500
N1 0.000 0.500 0.000
N2 0.500 0.000 0.000

---

[2]
# SCAN SrCrSe2N, PBEsol geometry
# E_form (uncorrected) = -0.89 eV/atom
# calculated volume = 93 Å³/cell
# magnetization = 1.01 μB per formula unit
# DOS(E_F) = 0.25 states/eV/atom
data_SrCrSe2N
_cell_length_a 3.601
_cell_length_b 5.095
_cell_length_c 5.095
_cell_angle_alpha 90.00
_cell_angle_beta 90.00
_cell_angle_gamma 90.00
_symmetry_space_group_name_H-M 'P 1'
_symmetry_Int_Tables_number 1
_symmetry_space_group_name_Hall 'P 1'
loop_
_atom_site_label
_atom_site_fract_x
_atom_site_fract_y
_atom_site_fract_z
Sr1 0.500 0.500 0.500
Cr1 0.000 0.000 0.000
Se1 0.000 0.000 0.500
Se2 0.000 0.500 0.000
N1 0.500 0.000 0.000

---

[3]
# SCAN CrTcSe2N, PBEsol geometry
# E_form (uncorrected) = 0.19 eV/atom
# calculated volume = 90 Å³/cell
# magnetization = 3.72 μB per formula unit
# DOS(E_F) = 0.62 states/eV/atom
data_CrTcSe2N
_cell_length_a 3.636
_cell_length_b 4.963
_cell_length_c 4.963
_cell_angle_alpha 90.00
_cell_angle_beta 90.00
_cell_angle_gamma 90.00
_symmetry_space_group_name_H-M 'P 1'
_symmetry_Int_Tables_number 1
_symmetry_space_group_name_Hall 'P 1'
loop_
_atom_site_label
_atom_site_fract_x
_atom_site_fract_y
_atom_site_fract_z
Cr1 0.500 0.500 0.500
Tc1 0.000 0.000 0.000
Se1 0.000 0.000 0.500
Se2 0.000 0.500 0.000
N1 0.500 0.000 0.000

---

[4]
# SCAN ZrCrSeN2, PBEsol geometry
# E_form (uncorrected) = 0.11 eV/atom
# calculated volume = 90 Å³/cell
# magnetization = 2.02 μB per formula unit
# DOS(E_F) = 0.47 states/eV/atom
data_ZrCrSeN2
_cell_length_a 4.042
_cell_length_b 4.042
_cell_length_c 5.489
_cell_angle_alpha 90.00
_cell_angle_beta 90.00
_cell_angle_gamma 90.00
_symmetry_space_group_name_H-M 'P 1'
_symmetry_Int_Tables_number 1
_symmetry_space_group_name_Hall 'P 1'
loop_
_atom_site_label
_atom_site_fract_x
_atom_site_fract_y
_atom_site_fract_z
Cr1 0.500 0.500 0.500
Se1 0.000 0.000 0.500
Zr1 0.000 0.000 0.000
N1 0.000 0.500 0.000
N2 0.500 0.000 0.000

---

[5]
# SCAN CrSnTeN2, PBEsol geometry
# E_form (uncorrected) = 0.62 eV/atom
# calculated volume = 81 Å³/cell
# magnetization = 0.38 μB per formula unit
# DOS(E_F) = 0.36 states/eV/atom
data_CrSnTeN2
_cell_length_a 3.911
_cell_length_b 3.911
_cell_length_c 5.278
_cell_angle_alpha 90.00
_cell_angle_beta 90.00
_cell_angle_gamma 90.00
_symmetry_space_group_name_H-M 'P 1'
_symmetry_Int_Tables_number 1
_symmetry_space_group_name_Hall 'P 1'
loop_
_atom_site_label
_atom_site_fract_x
_atom_site_fract_y
_atom_site_fract_z
Cr1 0.000 0.000 0.000
Te1 0.000 0.000 0.500
Sn1 0.500 0.500 0.500
N1 0.000 0.500 0.000
N2 0.500 0.000 0.000

---

[6]
# SCAN YCr2SnN, PBEsol geometry
# E_form (uncorrected) = 1.38 eV/atom
# calculated volume = 139 Å³/cell
# magnetization = 8.00 μB per formula unit
# DOS(E_F) = 0.58 states/eV/atom
data_YCr2SnN
_cell_length_a 4.904
_cell_length_b 4.904
_cell_length_c 5.764
_cell_angle_alpha 90.00
_cell_angle_beta 90.00
_cell_angle_gamma 90.00
_symmetry_space_group_name_H-M 'P 1'
_symmetry_Int_Tables_number 1
_symmetry_space_group_name_Hall 'P 1'
loop_
_atom_site_label
_atom_site_fract_x
_atom_site_fract_y
_atom_site_fract_z
Y1 0.000 0.000 0.500
Cr1 0.000 0.500 0.000
Cr2 0.500 0.000 0.000
Sn1 0.000 0.000 0.000
N1 0.500 0.500 0.500